[1]
Below is a relaxed Rb2CeU2Se6 crystal, with properties calculated at the PBE level.

It has space group C2/m (No. 12), with a = 7.332 Å, b = 12.759 Å, c = 8.553 Å, α = 90.00°, β = 106.36° and γ = 90.00°. Symmetry generates all atoms from Rb at (0.000, 0.165, 0.000), Ce at (0.000, 0.000, 0.500), U at (0.000, 0.334, 0.500), Se at (0.222, 0.500, 0.693) and Se at (0.233, 0.172, 0.692).

Its uncorrected formation energy is -1.40 eV/atom. The final energy comes out at -133.42 eV/cell.

---

[2]
Below is a relaxed V2CuN crystal, with properties calculated at the PBE level.

It has space group R-3m (No. 166, hexagonal axes), with a = 2.8811 Å, b = 2.8811 Å, c = 19.0020 Å, α = 90.00°, β = 90.00° and γ = 120.00°. Symmetry generates all atoms from V at (0.0000, 0.0000, 0.2232), Cu at (0.0000, 0.0000, 0.0000) and N at (0.0000, 0.0000, 0.5000).

Its uncorrected formation energy is -0.54 eV/atom. The final energy comes out at -98.45 eV/cell.

---

[3]
Below is a relaxed Li4Er3SbS8 crystal, with properties calculated at the PBE level.

It has space group R-3m (No. 166, hexagonal axes), with a = 7.7832 Å, b = 7.7832 Å, c = 18.5227 Å, α = 90.00°, β = 90.00° and γ = 120.00°. Symmetry generates all atoms from Li at (0.0000, 0.0000, 0.0000), Li at (0.0000, 0.5000, 0.0000), Er at (0.0000, 0.5000, 0.5000), Sb at (0.0000, 0.0000, 0.5000), S at (0.0000, 0.0000, 0.2493) and S at (0.0023, 0.5012, 0.7499).

Its uncorrected formation energy is -1.56 eV/atom. The final energy comes out at -250.16 eV/cell.

---

[4]
Below is a relaxed LiPm2Pr crystal, with properties calculated at the PBE level.

It has space group P4/mmm (No. 123), with a = 3.736 Å, b = 3.736 Å, c = 8.983 Å, α = 90.00°, β = 90.00° and γ = 90.00°. Symmetry generates all atoms from Li at (0.000, 0.000, 0.000), Pm at (0.500, 0.500, 0.219) and Pr at (0.000, 0.000, 0.500).

As for the relative energy among the computed polymorphs: 0.00 eV per formula unit. The final energy comes out at -15.92 eV/cell. The formation energy comes out at 1.58 kcal/mol of atoms.

---

[5]
Below is a relaxed Tc2NiRh crystal, with properties calculated at the PBE level.

It has space group P4/mmm (No. 123), with a = 2.652 Å, b = 2.652 Å, c = 7.698 Å, α = 90.00°, β = 90.00° and γ = 90.00°. Symmetry generates all atoms from Tc at (0.000, 0.000, 0.240), Ni at (0.500, 0.500, 0.000) and Rh at (0.500, 0.500, 0.500).

As for the relative energy among the computed polymorphs: 0.38 eV per formula unit. The final energy comes out at -33.83 eV/cell. The formation energy comes out at 0.20 kcal/mol of atoms.

---

[6]
Below is a relaxed NaCd3Sn3 crystal, with properties calculated at the PBE level.

It has space group P2_1/m (No. 11), with a = 10.883 Å, b = 4.899 Å, c = 10.889 Å, α = 90.00°, β = 119.93° and γ = 90.00°. Symmetry generates all atoms from Na at (0.168, 0.250, 0.334), Cd at (0.048, 0.250, 0.706), Cd at (0.206, 0.750, 0.157), Cd at (0.343, 0.750, 0.549), Sn at (0.111, 0.250, 0.989), Sn at (0.121, 0.750, 0.611) and Sn at (0.489, 0.750, 0.378).

As for the relative energy among the computed polymorphs: 0.42 eV per formula unit. The final energy comes out at -31.09 eV/cell. The formation energy comes out at 1.75 kcal/mol of atoms.